Entry 1:
CoAgRh2 | Alexandria | PBE | relaxed; space group = P4/mmm; VASP energy = -5.83 eV/atom; V = 57.9 Å³ per cell; M_tot = 3.58 Bohr magnetons per cell; N(E_F) = 5.975 states/eV/f.u.
1.0
3.8810 0.0000 0.0000
0.0000 3.8810 0.0000
0.0000 0.0000 3.8457
Co Ag Rh
1 1 2
direct
0.0000 0.0000 0.0000 Co
0.5000 0.5000 0.0000 Ag
0.0000 0.5000 0.5000 Rh
0.5000 0.0000 0.5000 Rh

Entry 2:
CoAgRh2 | Alexandria | PBE | relaxed; space group = Pmmm; VASP energy = -5.91 eV/atom; V = 58.5 Å³ per cell; M_tot = 3.71 Bohr magnetons per cell; N(E_F) = 5.072 states/eV/f.u.
1.0
2.7278 0.0000 0.0000
0.0000 3.6234 0.0000
0.0000 0.0000 5.9177
Co Ag Rh
1 1 2
direct
0.0000 0.0000 0.0000 Co
0.0000 0.0000 0.5000 Ag
0.5000 0.5000 0.2202 Rh
0.5000 0.5000 0.7798 Rh

Entry 3:
CoAgRh2 | Alexandria | PBE | relaxed; space group = R-3m; VASP energy = -6.02 eV/atom; V = 58.1 Å³ per cell; M_tot = 3.93 Bohr magnetons per cell; N(E_F) = 3.229 states/eV/f.u.
1.0
1.3701 0.7910 8.9415
-1.3701 0.7910 8.9415
0.0000 -1.5820 8.9415
Co Ag Rh
1 1 2
direct
0.0000 0.0000 0.0000 Co
0.5000 0.5000 0.5000 Ag
0.2578 0.2578 0.2578 Rh
0.7422 0.7422 0.7422 Rh

Entry 4:
CoAg2Rh | Alexandria | PBE | relaxed; space group = C2/m; VASP energy = -4.69 eV/atom; V = 61.2 Å³ per cell; M_tot = 2.46 Bohr magnetons per cell; N(E_F) = 4.863 states/eV/f.u.
1.0
4.7560 -1.3977 0.0000
4.7560 1.3977 0.0000
-0.9137 0.0000 4.6024
Co Ag Rh
1 2 1
direct
0.0000 0.0000 0.0000 Co
0.2538 0.2538 0.7535 Ag
0.7462 0.7462 0.2465 Ag
0.5000 0.5000 0.5000 Rh